# InIr4Au | Alexandria via LeMat-Bulk | GGA-PBE | relaxed
data_InIr4Au
_cell_length_a 7.428
_cell_length_b 7.428
_cell_length_c 7.428
_cell_angle_alpha 90.00
_cell_angle_beta 90.00
_cell_angle_gamma 90.00
_symmetry_space_group_name_H-M 'F -4 3 m'
_symmetry_Int_Tables_number 216
_symmetry_space_group_name_Hall 'F -4 2 3'
loop_
_atom_site_label
_atom_site_fract_x
_atom_site_fract_y
_atom_site_fract_z
In1 0.000 0.000 0.000
Ir1 0.125 0.125 0.625
Au1 0.250 0.250 0.250
# E_form = 406.4 meV/atom
# calculated density = 17.51 g cm⁻³